Entry from OQMD via LeMat-Bulk: crystalline BaTbAuO3 at its relaxed geometry (PBE-GGA).

Properties
- crystal system = orthorhombic
- E_tot (eV/atom) = -6.4001
- V (Å³ per atom) = 18.48

a = 7.067 Å, b = 7.067 Å, c = 8.733 Å
α = 90.00°, β = 90.00°, γ = 149.44°
Atoms (fractional coordinates):
Tb1 0.000 0.000 0.000
Ba1 0.314 0.686 0.750
O1 0.607 0.393 0.981
Ba2 0.686 0.314 0.250
O2 0.393 0.607 0.019
O3 0.942 0.058 0.750
Tb2 0.000 0.000 0.500
O4 0.058 0.942 0.250
O5 0.393 0.607 0.481
Au1 0.388 0.612 0.250
Au2 0.612 0.388 0.750
O6 0.607 0.393 0.519

Entry from OQMD via LeMat-Bulk: crystalline BaTe2AuO6 at its relaxed geometry (PBE-GGA).

Properties
- crystal system = monoclinic
- E_tot (eV/atom) = -5.3295
- V (Å³ per atom) = 18.32

a = 4.911 Å, b = 4.911 Å, c = 16.237 Å
α = 90.18°, β = 90.18°, γ = 69.32°
Atoms (fractional coordinates):
Ba1 0.953 0.047 0.250
Au1 0.000 0.000 0.000
O1 0.763 0.182 0.608
Te1 0.364 0.353 0.092
O2 0.359 0.754 0.583
O3 0.237 0.818 0.392
O4 0.641 0.246 0.417
O5 0.379 0.244 0.202
O6 0.818 0.237 0.892
Te2 0.636 0.647 0.908
O7 0.754 0.359 0.083
O8 0.244 0.379 0.702
O9 0.182 0.763 0.108
O10 0.246 0.641 0.917
Te3 0.353 0.364 0.592
Au2 0.000 0.000 0.500
Ba2 0.047 0.953 0.750
O11 0.621 0.756 0.798
Te4 0.647 0.636 0.408
O12 0.756 0.621 0.298